Here is a geometry-optimized PmNi5B3 structure from Alexandria via LeMat-Bulk. Energies are from PBE.

a = 5.6795 Å, b = 5.6795 Å, c = 10.8439 Å
α = 90.00°, β = 90.00°, γ = 144.87°
Fractional coordinates of all 18 atoms:
Pm 0.1565 0.8435 0.7500
Pm 0.8435 0.1565 0.2500
Ni 0.0000 0.0000 0.0000
Ni 0.0000 0.0000 0.5000
Ni 0.2045 0.7955 0.0672
Ni 0.2045 0.7955 0.4328
Ni 0.4416 0.5584 0.6437
Ni 0.4416 0.5584 0.8563
Ni 0.5584 0.4416 0.1437
Ni 0.5584 0.4416 0.3563
Ni 0.7955 0.2045 0.5672
Ni 0.7955 0.2045 0.9328
B 0.1102 0.8898 0.2500
B 0.3862 0.6138 0.0335
B 0.3862 0.6138 0.4665
B 0.6138 0.3862 0.5335
B 0.6138 0.3862 0.9665
B 0.8898 0.1102 0.7500

Output
Energy of formation from the pure elements (kJ per mole of atoms): -33
SG: Cmcm (63)

Here is a geometry-optimized La2MgRh3 structure from Alexandria via LeMat-Bulk. Energies are from PBE.

a = 4.5279 Å, b = 5.4101 Å, c = 10.6928 Å
α = 90.00°, β = 90.00°, γ = 90.00°
Fractional coordinates of all 12 atoms:
La 0.0000 0.0000 0.1793
La 0.0000 0.0000 0.8207
La 0.5000 0.5000 0.3207
La 0.5000 0.5000 0.6793
Mg 0.0000 0.0000 0.5000
Mg 0.5000 0.5000 0.0000
Rh 0.0000 0.5000 0.1290
Rh 0.0000 0.5000 0.5000
Rh 0.0000 0.5000 0.8710
Rh 0.5000 0.0000 0.0000
Rh 0.5000 0.0000 0.3710
Rh 0.5000 0.0000 0.6290

Output
Energy of formation from the pure elements (kJ per mole of atoms): -44
SG: Immm (71)

Here is a geometry-optimized ZrCr2Cl structure from Alexandria via LeMat-Bulk. Energies are from PBE.

a = 9.2874 Å, b = 3.0358 Å, c = 5.2960 Å
α = 90.00°, β = 110.09°, γ = 90.00°
Fractional coordinates of all 8 atoms:
Zr 0.0000 0.0000 0.0000
Zr 0.5000 0.5000 0.0000
Cr 0.0401 0.5000 0.5030
Cr 0.3236 0.5000 0.3875
Cr 0.5401 0.0000 0.5030
Cr 0.8236 0.0000 0.3875
Cl 0.2434 0.0000 0.8746
Cl 0.7434 0.5000 0.8746

Output
Formation energy (no corrections) (eV per atom): 0.22
Relative energy among the computed polymorphs (meV per atom): 330
SG: Cm (8)